Below is a relaxed structure of KSi2Mo, with properties calculated at the PBE level.

```
data_KSi2Mo
_chemical_formula_sum 'K2 Si4 Mo2'
_cell_length_a 6.633
_cell_length_b 8.046
_cell_length_c 2.707
_cell_angle_alpha 90.00
_cell_angle_beta 98.80
_cell_angle_gamma 90.00
_space_group_name_H-M_alt 'C 1 2/m 1'
_space_group_IT_number 12
loop_
_space_group_symop_operation_xyz
'x,y,z'
'-x,-y,-z'
'-x,y,-z'
'x,-y,z'
'x+1/2,y+1/2,z'
'-x+1/2,-y+1/2,-z'
'-x+1/2,y+1/2,-z'
'x+1/2,-y+1/2,z'
loop_
_atom_site_label
_atom_site_fract_x
_atom_site_fract_y
_atom_site_fract_z
K1 0.000 0.000 0.000
Si1 0.250 0.250 0.500
Mo1 0.000 0.500 0.000
```

Computed properties:
E_form (uncorrected) = 0.81 eV/atom
excess energy over the best structure of this formula in the dataset = 0.734 eV per atom

Below is a relaxed structure of PaNi, with properties calculated at the PBE level.

```
data_PaNi
_chemical_formula_sum 'Pa4 Ni4'
_cell_length_a 5.469
_cell_length_b 5.469
_cell_length_c 5.469
_cell_angle_alpha 90.00
_cell_angle_beta 90.00
_cell_angle_gamma 90.00
_space_group_name_H-M_alt 'F m -3 m'
_space_group_IT_number 225
_space_group_name_Hall '-F 4 2 3'
loop_
_atom_site_label
_atom_site_fract_x
_atom_site_fract_y
_atom_site_fract_z
Pa1 0.000 0.000 0.000
Ni1 0.000 0.000 0.500
```

Computed properties:
formation energy from the elements = -0.05 eV per atom

Below is a relaxed structure of GdHgPtPb, with properties calculated at the PBE level.

```
data_GdHgPtPb
_chemical_formula_sum 'Gd4 Hg4 Pt4 Pb4'
_cell_length_a 7.198
_cell_length_b 7.198
_cell_length_c 7.198
_cell_angle_alpha 90.00
_cell_angle_beta 90.00
_cell_angle_gamma 90.00
_space_group_name_H-M_alt 'F -4 3 m'
_space_group_IT_number 216
_space_group_name_Hall 'F -4 2 3'
loop_
_atom_site_label
_atom_site_fract_x
_atom_site_fract_y
_atom_site_fract_z
Gd1 0.000 0.000 0.000
Hg1 0.250 0.250 0.250
Pt1 0.250 0.250 0.750
Pb1 0.000 0.000 0.500
```

Computed properties:
formation energy from the elements = -0.51 eV per atom

Below is a relaxed structure of BeRhBr2, with properties calculated at the PBE level.

```
data_BeRhBr2
_chemical_formula_sum 'Be2 Rh2 Br4'
_cell_length_a 3.798
_cell_length_b 5.926
_cell_length_c 8.687
_cell_angle_alpha 101.12
_cell_angle_beta 95.23
_cell_angle_gamma 101.52
_space_group_name_H-M_alt 'P -1'
_space_group_IT_number 2
loop_
_space_group_symop_operation_xyz
'x,y,z'
'-x,-y,-z'
loop_
_atom_site_label
_atom_site_fract_x
_atom_site_fract_y
_atom_site_fract_z
Be1 0.145 0.049 0.127
Rh1 0.281 0.769 0.937
Br1 0.108 0.658 0.188
Br2 0.426 0.796 0.669
```

Computed properties:
E_form (uncorrected) = -0.38 eV/atom
excess energy over the best structure of this formula in the dataset = 0.020 eV per atom

Copy entry 3 word for word.
Below is a relaxed structure of GdHgPtPb, with properties calculated at the PBE level.

```
data_GdHgPtPb
_chemical_formula_sum 'Gd4 Hg4 Pt4 Pb4'
_cell_length_a 7.198
_cell_length_b 7.198
_cell_length_c 7.198
_cell_angle_alpha 90.00
_cell_angle_beta 90.00
_cell_angle_gamma 90.00
_space_group_name_H-M_alt 'F -4 3 m'
_space_group_IT_number 216
_space_group_name_Hall 'F -4 2 3'
loop_
_atom_site_label
_atom_site_fract_x
_atom_site_fract_y
_atom_site_fract_z
Gd1 0.000 0.000 0.000
Hg1 0.250 0.250 0.250
Pt1 0.250 0.250 0.750
Pb1 0.000 0.000 0.500
```

Computed properties:
formation energy from the elements = -0.51 eV per atom